Be2HgI | PBEsol | relaxed

The value obtained for the energy relative to the elements, uncorrected is 97.9 kJ per mole of atoms.

The space group is Fm-3m (No. 225) and the conventional cell measures 6.704, 6.704 and 6.704 Å, with angles of 90.00, 90.00 and 90.00 degrees. The inequivalent atoms are Be at (0.250, 0.250, 0.250), Hg at (0.000, 0.000, 0.000) and I at (0.000, 0.000, 0.500).

BeHg2I | PBEsol | relaxed

The value obtained for the energy relative to the elements, uncorrected is 68.8 kJ per mole of atoms.

The space group is Fm-3m (No. 225) and the conventional cell measures 7.384, 7.384 and 7.384 Å, with angles of 90.00, 90.00 and 90.00 degrees. The inequivalent atoms are Be at (0.000, 0.000, 0.000), Hg at (0.250, 0.250, 0.250) and I at (0.000, 0.000, 0.500).

Be2ReHgI | PBEsol | relaxed

The value obtained for the energy relative to the elements, uncorrected is 147.3 kJ per mole of atoms.

The space group is P4/mmm (No. 123) and the conventional cell measures 4.346, 4.346 and 5.417 Å, with angles of 90.00, 90.00 and 90.00 degrees. The inequivalent atoms are Be at (0.000, 0.500, 0.000), Re at (0.000, 0.000, 0.500), Hg at (0.000, 0.000, 0.000) and I at (0.500, 0.500, 0.500).

BeHgSbI2 | PBEsol | relaxed

The value obtained for the energy relative to the elements, uncorrected is 94.5 kJ per mole of atoms.

The space group is P4/mmm (No. 123) and the conventional cell measures 5.769, 5.769 and 5.575 Å, with angles of 90.00, 90.00 and 90.00 degrees. The inequivalent atoms are Be at (0.000, 0.000, 0.000), Hg at (0.500, 0.500, 0.500), Sb at (0.500, 0.500, 0.000) and I at (0.000, 0.500, 0.500).